Entry 1:
# CsK3Ag | the Alexandria database | GGA-PBE | relaxed
data_CsK3Ag
_space_group_name_H-M_alt 'A m a 2'
_space_group_IT_number 40
_space_group_name_Hall 'A 2 -2a'
_cell_length_a 4.9778
_cell_length_b 27.7762
_cell_length_c 9.4022
_cell_angle_alpha 90.00
_cell_angle_beta 90.00
_cell_angle_gamma 90.00
loop_
_atom_site_label
_atom_site_type_symbol
_atom_site_fract_x
_atom_site_fract_y
_atom_site_fract_z
Cs1 Cs 0.2500 0.0719 0.0000
K1 K 0.2500 0.0656 0.5163
K2 K 0.2500 0.2977 0.2527
K3 K 0.2500 0.3333 0.7870
Ag1 Ag 0.2500 0.4731 0.7734
# energy relative to the lowest polymorph listed for this composition: 0.0000 eV/atom
# DFT formation energy: 0.837 kcal/mol of atoms
# M_tot: 0.000 μB/atom
# E: -1.36 eV/atom
# volume: 1300.0 Å³ per cell



Entry 2:
# Cs2K4Ag | the Alexandria database | GGA-PBE | relaxed
data_Cs2K4Ag
_space_group_name_H-M_alt 'I 4/m m m'
_space_group_IT_number 139
_space_group_name_Hall '-I 4 2'
_cell_length_a 6.7699
_cell_length_b 6.7699
_cell_length_c 24.0960
_cell_angle_alpha 90.00
_cell_angle_beta 90.00
_cell_angle_gamma 90.00
loop_
_atom_site_label
_atom_site_type_symbol
_atom_site_fract_x
_atom_site_fract_y
_atom_site_fract_z
Cs1 Cs 0.0000 0.0000 0.1624
K1 K 0.0000 0.0000 0.3607
K2 K 0.0000 0.5000 0.0000
Ag1 Ag 0.0000 0.0000 0.5000
# energy relative to the lowest polymorph listed for this composition: 0.0276 eV/atom
# DFT formation energy: 1.309 kcal/mol of atoms
# M_tot: 0.000 μB/atom
# E: -1.22 eV/atom
# volume: 1104.3 Å³ per cell



Entry 3:
# Cs2K2Ag | the Alexandria database | GGA-PBE | relaxed
data_Cs2K2Ag
_space_group_name_H-M_alt 'C 1 2/m 1'
_space_group_IT_number 12
_space_group_name_Hall '-C 2y'
_cell_length_a 9.9464
_cell_length_b 15.6199
_cell_length_c 9.8946
_cell_angle_alpha 90.00
_cell_angle_beta 116.34
_cell_angle_gamma 90.00
loop_
_atom_site_label
_atom_site_type_symbol
_atom_site_fract_x
_atom_site_fract_y
_atom_site_fract_z
Cs1 Cs 0.0480 0.2194 0.2652
K1 K 0.2149 0.5000 0.8658
K2 K 0.2453 0.5000 0.3742
Ag1 Ag 0.0000 0.4070 0.5000
# energy relative to the lowest polymorph listed for this composition: 0.0000 eV/atom
# DFT formation energy: 0.669 kcal/mol of atoms
# M_tot: 0.000 μB/atom
# E: -1.32 eV/atom
# volume: 1377.6 Å³ per cell



Entry 4:
# CsK2Ag2 | the Alexandria database | GGA-PBE | relaxed
data_CsK2Ag2
_space_group_name_H-M_alt 'P 4/m b m'
_space_group_IT_number 127
_space_group_name_Hall '-P 4 2ab'
_cell_length_a 9.4503
_cell_length_b 9.4503
_cell_length_c 4.9307
_cell_angle_alpha 90.00
_cell_angle_beta 90.00
_cell_angle_gamma 90.00
loop_
_atom_site_label
_atom_site_type_symbol
_atom_site_fract_x
_atom_site_fract_y
_atom_site_fract_z
Cs1 Cs 0.0000 0.0000 0.0000
K1 K 0.1584 0.3416 0.5000
Ag1 Ag 0.1099 0.6099 0.0000
# energy relative to the lowest polymorph listed for this composition: 0.0279 eV/atom
# DFT formation energy: 1.481 kcal/mol of atoms
# M_tot: 0.000 μB/atom
# E: -1.69 eV/atom
# volume: 440.4 Å³ per cell



Entry 5:
# Cs6K3Ag2 | the Alexandria database | GGA-PBE | relaxed
data_Cs6K3Ag2
_space_group_name_H-M_alt 'I 4/m m m'
_space_group_IT_number 139
_space_group_name_Hall '-I 4 2'
_cell_length_a 7.3556
_cell_length_b 7.3556
_cell_length_c 32.6682
_cell_angle_alpha 90.00
_cell_angle_beta 90.00
_cell_angle_gamma 90.00
loop_
_atom_site_label
_atom_site_type_symbol
_atom_site_fract_x
_atom_site_fract_y
_atom_site_fract_z
Cs1 Cs 0.0000 0.0000 0.1769
Cs2 Cs 0.0000 0.5000 0.0757
K1 K 0.0000 0.0000 0.3186
K2 K 0.0000 0.0000 0.5000
Ag1 Ag 0.0000 0.0000 0.0434
# DFT formation energy: 2.148 kcal/mol of atoms
# M_tot: 0.000 μB/atom
# E: -1.19 eV/atom
# volume: 1767.5 Å³ per cell



Entry 6:
# Cs3K4Ag | the Alexandria database | GGA-PBE | relaxed
data_Cs3K4Ag
_space_group_name_H-M_alt 'P m m n'
_space_group_IT_number 59
_cell_length_a 8.4087
_cell_length_b 15.7042
_cell_length_c 9.2681
_cell_angle_alpha 90.00
_cell_angle_beta 90.00
_cell_angle_gamma 90.00
loop_
_space_group_symop_operation_xyz
'x,y,z'
'-x,-y,-z'
'-x+1/2,-y+1/2,z'
'x+1/2,y+1/2,-z'
'x+1/2,-y,-z'
'-x+1/2,y,z'
'-x,y+1/2,-z'
'x,-y+1/2,z'
loop_
_atom_site_label
_atom_site_type_symbol
_atom_site_fract_x
_atom_site_fract_y
_atom_site_fract_z
Cs1 Cs 0.2500 0.0144 0.1777
Cs2 Cs 0.2500 0.7500 0.5489
K1 K 0.9999 0.2500 0.0042
K2 K 0.2500 0.1060 0.6265
Ag1 Ag 0.2500 0.2500 0.3207
# DFT formation energy: 0.807 kcal/mol of atoms
# M_tot: 0.000 μB/atom
# E: -1.19 eV/atom
# volume: 1223.9 Å³ per cell



Entry 7:
# CsKAg4 | the Alexandria database | GGA-PBE | relaxed
data_CsKAg4
_space_group_name_H-M_alt 'F -4 3 m'
_space_group_IT_number 216
_space_group_name_Hall 'F -4 2 3'
_cell_length_a 8.6647
_cell_length_b 8.6647
_cell_length_c 8.6647
_cell_angle_alpha 90.00
_cell_angle_beta 90.00
_cell_angle_gamma 90.00
loop_
_atom_site_label
_atom_site_type_symbol
_atom_site_fract_x
_atom_site_fract_y
_atom_site_fract_z
Cs1 Cs 0.0000 0.0000 0.0000
K1 K 0.2500 0.2500 0.7500
Ag1 Ag 0.1241 0.1241 0.3759
# DFT formation energy: 2.507 kcal/mol of atoms
# M_tot: 0.000 μB/atom
# E: -2.12 eV/atom
# volume: 650.5 Å³ per cell



Entry 8:
# Cs2K6Ag | the Alexandria database | GGA-PBE | relaxed
data_Cs2K6Ag
_space_group_name_H-M_alt 'C 1 2/m 1'
_space_group_IT_number 12
_space_group_name_Hall '-C 2y'
_cell_length_a 16.8654
_cell_length_b 9.7408
_cell_length_c 9.7425
_cell_angle_alpha 90.00
_cell_angle_beta 125.27
_cell_angle_gamma 90.00
loop_
_atom_site_label
_atom_site_type_symbol
_atom_site_fract_x
_atom_site_fract_y
_atom_site_fract_z
Cs1 Cs 0.2500 0.0000 0.2497
K1 K 0.9999 0.2481 0.2518
K2 K 0.2480 0.0000 0.7474
Ag1 Ag 0.0000 0.5000 0.0000
# DFT formation energy: 0.691 kcal/mol of atoms
# M_tot: 0.000 μB/atom
# E: -1.21 eV/atom
# volume: 1306.8 Å³ per cell



Entry 9:
# Cs3K8Ag | the Alexandria database | GGA-PBE | relaxed
data_Cs3K8Ag
_space_group_name_H-M_alt 'P 63 m c'
_space_group_IT_number 186
_space_group_name_Hall 'P 6c -2c'
_cell_length_a 14.6172
_cell_length_b 14.6172
_cell_length_c 9.6683
_cell_angle_alpha 90.00
_cell_angle_beta 90.00
_cell_angle_gamma 120.00
loop_
_atom_site_label
_atom_site_type_symbol
_atom_site_fract_x
_atom_site_fract_y
_atom_site_fract_z
Cs1 Cs 0.1578 0.3156 0.0000
K1 K 0.0000 0.0000 0.2485
K2 K 0.0397 0.5198 0.7767
K3 K 0.2260 0.4520 0.4972
K4 K 0.3333 0.6667 0.1085
Ag1 Ag 0.3333 0.6667 0.7497
# DFT formation energy: 0.587 kcal/mol of atoms
# M_tot: 0.000 μB/atom
# E: -1.16 eV/atom
# volume: 1789.0 Å³ per cell



Entry 10:
# Cs12K5Ag3 | the Alexandria database | GGA-PBE | relaxed
data_Cs12K5Ag3
_space_group_name_H-M_alt 'I a -3 d'
_space_group_IT_number 230
_space_group_name_Hall '-I 4bd 2c 3'
_cell_length_a 24.9792
_cell_length_b 24.9792
_cell_length_c 24.9792
_cell_angle_alpha 90.00
_cell_angle_beta 90.00
_cell_angle_gamma 90.00
loop_
_atom_site_label
_atom_site_type_symbol
_atom_site_fract_x
_atom_site_fract_y
_atom_site_fract_z
Cs1 Cs 0.0190 0.1008 0.6480
K1 K 0.0000 0.0000 0.0000
K2 K 0.0000 0.2500 0.3750
Ag1 Ag 0.0000 0.2500 0.1250
# DFT formation energy: 4.263 kcal/mol of atoms
# M_tot: 0.000 μB/atom
# E: -1.03 eV/atom
# volume: 15586.0 Å³ per cell



Entry 11:
# Cs5KAg4 | the Alexandria database | GGA-PBE | relaxed
data_Cs5KAg4
_space_group_name_H-M_alt 'C 1 2/m 1'
_space_group_IT_number 12
_space_group_name_Hall '-C 2y'
_cell_length_a 24.0437
_cell_length_b 5.1083
_cell_length_c 9.8333
_cell_angle_alpha 90.00
_cell_angle_beta 110.22
_cell_angle_gamma 90.00
loop_
_atom_site_label
_atom_site_type_symbol
_atom_site_fract_x
_atom_site_fract_y
_atom_site_fract_z
Cs1 Cs 0.0000 0.0000 0.0000
Cs2 Cs 0.1494 0.5000 0.5449
Cs3 Cs 0.1910 0.5000 0.0942
K1 K 0.0000 0.0000 0.5000
Ag1 Ag 0.0555 0.5000 0.7673
Ag2 Ag 0.1182 0.0000 0.8092
# DFT formation energy: 0.836 kcal/mol of atoms
# M_tot: 0.000 μB/atom
# E: -1.64 eV/atom
# volume: 1133.3 Å³ per cell



Entry 12:
# Cs5K12Ag3 | the Alexandria database | GGA-PBE | relaxed
data_Cs5K12Ag3
_space_group_name_H-M_alt 'I a -3 d'
_space_group_IT_number 230
_space_group_name_Hall '-I 4bd 2c 3'
_cell_length_a 23.9710
_cell_length_b 23.9710
_cell_length_c 23.9710
_cell_angle_alpha 90.00
_cell_angle_beta 90.00
_cell_angle_gamma 90.00
loop_
_atom_site_label
_atom_site_type_symbol
_atom_site_fract_x
_atom_site_fract_y
_atom_site_fract_z
Cs1 Cs 0.0000 0.0000 0.0000
Cs2 Cs 0.0000 0.2500 0.3750
K1 K 0.0107 0.1134 0.6445
Ag1 Ag 0.0000 0.2500 0.1250
# DFT formation energy: 4.491 kcal/mol of atoms
# M_tot: 0.000 μB/atom
# E: -1.10 eV/atom
# volume: 13773.9 Å³ per cell